! AcHoAu (PBE-GGA, optimized geometry); values from VASP
&SYSTEM
  ibrav = 0, nat = 18, ntyp = 3
/
ATOMIC_SPECIES
Ho 164.93 Ho.upf
Ac 227.00 Ac.upf
Au 196.97 Au.upf
ATOMIC_POSITIONS angstrom
Ho 1.7385 -4.3791 2.1170
Ho 0.0172 -0.0623 0.0616
Ho 7.8659 -15.5370 0.4238
Ho 5.6058 -10.9511 0.0410
Ho 3.9986 -8.9651 2.4997
Ho 3.8855 -6.6338 -2.0142
Ac 0.3146 -5.9293 -0.9362
Ac 2.1657 -9.6461 -0.7068
Ac 6.6345 -7.3538 0.3661
Ac 8.7902 -12.1751 1.6868
Ac 4.7843 -3.6376 0.1341
Ac 4.3200 -14.4652 0.6149
Au 5.2881 -9.2202 -2.3290
Au 3.1983 -6.6417 0.8640
Au 2.7736 -11.8537 1.4778
Au 7.2449 -9.5644 2.5469
Au 7.0675 -13.2127 -1.2115
Au 1.4189 -2.6492 -0.2535
CELL_PARAMETERS angstrom
1.5015 -5.4450 5.3799
-0.6007 -8.8634 -3.1482
8.3374 -4.2795 -1.0033
! - Energy relative to the lowest polymorph listed for this composition: 0.158 eV/f.u.
! - ΔE_f: -0.54 eV per atom
! - Magnetic moment: 0.00 μB per formula unit